No. 1
Entry from Alexandria: a relaxed ReSbBr crystal (PBE-GGA). Values from VASP.

Summary:
Symmetry: No. 156
VASP energy: -5.125 eV per atom
Mass density: 10.3 g/cm3
E above lowest polymorph: 460 meV per atom

Cell and atoms, written as Quantum ESPRESSO input:
```
&SYSTEM
  ibrav = 0, nat = 3, ntyp = 3
/
ATOMIC_SPECIES
Sb 121.76 Sb.upf
Br 79.90 Br.upf
Re 186.21 Re.upf
ATOMIC_POSITIONS crystal
Sb 0.3333 0.6667 0.5520
Br 0.0000 0.0000 0.1198
Re 0.6667 0.3333 0.3283
CELL_PARAMETERS angstrom
-1.3345 4.1109 1.5866
-2.5864 -2.2246 -3.0919
-1.7027 -1.5263 2.5225
```



No. 2
Entry from Alexandria: a relaxed ReSbBr crystal (PBE-GGA). Values from VASP.

Summary:
Symmetry: No. 216
VASP energy: -5.326 eV per atom
Mass density: 9.6 g/cm3
E above lowest polymorph: 259 meV per atom

Cell and atoms, written as Quantum ESPRESSO input:
```
&SYSTEM
  ibrav = 0, nat = 3, ntyp = 3
/
ATOMIC_SPECIES
Re 186.21 Re.upf
Sb 121.76 Sb.upf
Br 79.90 Br.upf
ATOMIC_POSITIONS crystal
Re 0.7500 0.7500 0.7500
Sb 0.0000 0.0000 0.0000
Br 0.5000 0.5000 0.5000
CELL_PARAMETERS angstrom
4.5592 0.0000 0.0000
2.2796 3.9484 0.0000
2.2796 1.3161 3.7226
```



No. 3
Entry from Alexandria: a relaxed ReSbBr crystal (PBE-GGA). Values from VASP.

Summary:
Symmetry: No. 44
VASP energy: -5.485 eV per atom
Mass density: 7.5 g/cm3
E above lowest polymorph: 100 meV per atom

Cell and atoms, written as Quantum ESPRESSO input:
```
&SYSTEM
  ibrav = 0, nat = 3, ntyp = 3
/
ATOMIC_SPECIES
Br 79.90 Br.upf
Re 186.21 Re.upf
Sb 121.76 Sb.upf
ATOMIC_POSITIONS crystal
Br 0.0269 0.0269 0.0000
Re 0.2045 0.2045 0.0000
Sb 0.7686 0.7686 0.0000
CELL_PARAMETERS angstrom
7.0893 1.1736 -0.0246
4.5074 5.5964 0.0246
-5.4728 -3.9426 2.4780
```



No. 4
Entry from Alexandria: a relaxed ReSbBr crystal (PBE-GGA). Values from VASP.

Summary:
Symmetry: No. 156
VASP energy: -5.585 eV per atom
Mass density: 8.8 g/cm3
E above lowest polymorph: 0 meV per atom

Cell and atoms, written as Quantum ESPRESSO input:
```
&SYSTEM
  ibrav = 0, nat = 3, ntyp = 3
/
ATOMIC_SPECIES
Sb 121.76 Sb.upf
Br 79.90 Br.upf
Re 186.21 Re.upf
ATOMIC_POSITIONS crystal
Sb 0.3333 0.6667 0.5810
Br 0.0000 0.0000 0.0873
Re 0.6667 0.3333 0.3317
CELL_PARAMETERS angstrom
3.2740 0.0000 0.0000
-1.6370 2.8354 0.0000
0.0000 0.0000 7.9023
```



No. 5
Entry from Alexandria: a relaxed ReSbBr crystal (PBE-GGA). Values from VASP.

Summary:
Symmetry: No. 107
VASP energy: -5.503 eV per atom
Mass density: 9.1 g/cm3
E above lowest polymorph: 83 meV per atom

Cell and atoms, written as Quantum ESPRESSO input:
```
&SYSTEM
  ibrav = 0, nat = 3, ntyp = 3
/
ATOMIC_SPECIES
Br 79.90 Br.upf
Sb 121.76 Sb.upf
Re 186.21 Re.upf
ATOMIC_POSITIONS crystal
Br 0.9533 0.9533 0.0000
Sb 0.7121 0.7121 0.0000
Re 0.3347 0.3347 0.0000
CELL_PARAMETERS angstrom
7.3956 0.0179 0.0000
6.0232 4.2914 0.0000
-6.7094 -2.1547 2.2442
```



No. 6
Entry from Alexandria: a relaxed Ta2ReSbBr crystal (PBE-GGA). Values from VASP.

Summary:
Symmetry: No. 123
VASP energy: -5.838 eV per atom
Mass density: 8.9 g/cm3

Cell and atoms, written as Quantum ESPRESSO input:
```
&SYSTEM
  ibrav = 0, nat = 5, ntyp = 4
/
ATOMIC_SPECIES
Re 186.21 Re.upf
Sb 121.76 Sb.upf
Ta 180.95 Ta.upf
Br 79.90 Br.upf
ATOMIC_POSITIONS crystal
Re 0.5000 0.5000 0.5000
Sb 0.0000 0.0000 0.0000
Ta 0.5000 0.0000 0.0000
Ta 0.0000 0.0000 0.5000
Br 0.0000 0.5000 0.0000
CELL_PARAMETERS angstrom
5.1601 0.0000 0.0000
0.0000 5.2384 0.0000
0.0000 0.0000 5.1601
```



No. 7
Entry from Alexandria: a relaxed TlRe2SbBr crystal (PBE-GGA). Values from VASP.

Summary:
Symmetry: No. 123
VASP energy: -4.850 eV per atom
Mass density: 8.3 g/cm3

Cell and atoms, written as Quantum ESPRESSO input:
```
&SYSTEM
  ibrav = 0, nat = 5, ntyp = 4
/
ATOMIC_SPECIES
Tl 204.38 Tl.upf
Br 79.90 Br.upf
Re 186.21 Re.upf
Sb 121.76 Sb.upf
ATOMIC_POSITIONS crystal
Tl 0.5000 0.5000 0.5000
Br 0.0000 0.5000 0.0000
Re 0.5000 0.0000 0.0000
Re 0.0000 0.0000 0.5000
Sb 0.0000 0.0000 0.0000
CELL_PARAMETERS angstrom
5.0434 0.0000 0.0000
0.0000 6.1441 0.0000
0.0000 0.0000 5.0434
```



No. 8
Entry from Alexandria: a relaxed VReSb2Br crystal (PBE-GGA). Values from VASP.

Summary:
Symmetry: No. 123
VASP energy: -5.229 eV per atom
Mass density: 6.5 g/cm3

Cell and atoms, written as Quantum ESPRESSO input:
```
&SYSTEM
  ibrav = 0, nat = 5, ntyp = 4
/
ATOMIC_SPECIES
V 50.94 V.upf
Sb 121.76 Sb.upf
Br 79.90 Br.upf
Re 186.21 Re.upf
ATOMIC_POSITIONS crystal
V 0.5000 0.5000 0.5000
Sb 0.0000 0.0000 0.5000
Sb 0.5000 0.0000 0.0000
Br 0.0000 0.5000 0.0000
Re 0.0000 0.0000 0.0000
CELL_PARAMETERS angstrom
-4.5613 -0.6887 2.1717
-0.2857 -5.0301 -2.1952
2.2628 -1.9349 4.1390
```